1.
# TcWBr

A geometry-optimized TcWBr structure (PBE-GGA, the Alexandria database).

formation energy from raw total energies	1.0543	eV per atom
energy above the most stable polymorph in this dataset	0.6037	eV per atom

Lattice parameters (Å, degrees): 2.9839 4.1638 7.9353 90.00 90.00 90.00
Space group Imm2 (No. 44)
Unique sites:
1 Tc 0.0000 0.0000 0.0000 (multiplicity 2)
2 W 0.0000 0.0000 0.6610 (multiplicity 2)
3 Br 0.0000 0.0000 0.3334 (multiplicity 2)

2.
# TcWBr2

A geometry-optimized TcWBr2 structure (PBE-GGA, the Alexandria database).

formation energy from raw total energies	0.6053	eV per atom
energy above the most stable polymorph in this dataset	0.5902	eV per atom

Lattice parameters (Å, degrees): 10.1432 3.1848 7.1011 90.00 112.15 90.00
Space group Cm (No. 8)
Unique sites:
1 Tc 0.0000 0.0000 0.0000 (multiplicity 2)
2 W 0.1688 0.5000 0.0002 (multiplicity 2)
3 Br 0.2506 0.0000 0.7328 (multiplicity 2)
4 Br 0.3922 0.0000 0.2672 (multiplicity 2)

3.
# Tc2WBr

A geometry-optimized Tc2WBr structure (PBE-GGA, the Alexandria database).

formation energy from raw total energies	0.8964	eV per atom
energy above the most stable polymorph in this dataset	0.4995	eV per atom

Lattice parameters (Å, degrees): 2.9744 4.5121 4.6787 90.00 90.00 90.00
Space group Pmmm (No. 47)
Unique sites:
1 Tc 0.0000 0.0000 0.0000 (multiplicity 1)
2 Tc 0.5000 0.0000 0.5000 (multiplicity 1)
3 W 0.0000 0.5000 0.5000 (multiplicity 1)
4 Br 0.5000 0.5000 0.0000 (multiplicity 1)

4.
# TcWBr4

A geometry-optimized TcWBr4 structure (PBE-GGA, the Alexandria database).

formation energy from raw total energies	1.9262	eV per atom

Lattice parameters (Å, degrees): 8.6055 8.6055 8.6055 90.00 90.00 90.00
Space group F-43m (No. 216)
Unique sites:
1 Tc 0.0000 0.0000 0.0000 (multiplicity 4)
2 W 0.2500 0.2500 0.7500 (multiplicity 4)
3 Br 0.1254 0.1254 0.3746 (multiplicity 16)